# 1
# meta-GGA SCAN BaLiSb3, PBEsol geometry
data_BaLiSb3
_cell_length_a 5.179
_cell_length_b 5.179
_cell_length_c 5.179
_cell_angle_alpha 90.00
_cell_angle_beta 90.00
_cell_angle_gamma 90.00
_symmetry_space_group_name_H-M 'P m -3 m'
_symmetry_Int_Tables_number 221
_symmetry_space_group_name_Hall '-P 4 2 3'
loop_
_atom_site_label
_atom_site_fract_x
_atom_site_fract_y
_atom_site_fract_z
Ba1 0.000 0.000 0.000
Li1 0.500 0.500 0.500
Sb1 0.000 0.500 0.500
# formation energy from raw total energies = -0.3877 eV per atom
# magnetic moment = 0.00 μB per formula unit
# calculated total energy = -2.288 Ry/atom

---

# 2
# meta-GGA SCAN MnFeNi2, PBEsol geometry
data_MnFeNi2
_cell_length_a 8.145
_cell_length_b 2.442
_cell_length_c 4.290
_cell_angle_alpha 90.00
_cell_angle_beta 99.73
_cell_angle_gamma 90.00
_symmetry_space_group_name_H-M 'C 1 m 1'
_symmetry_Int_Tables_number 8
_symmetry_space_group_name_Hall 'C -2y'
loop_
_atom_site_label
_atom_site_fract_x
_atom_site_fract_y
_atom_site_fract_z
Mn1 0.000 0.000 0.000
Fe1 0.249 0.000 0.756
Ni1 0.000 0.500 0.501
Ni2 0.249 0.500 0.255
# magnetic moment = 0.25 μB per formula unit
# E_form = 0.0 eV per formula unit
# calculated total energy = -1.263 Ry/atom

---

# 3
# meta-GGA SCAN AlAs3P, PBEsol geometry
data_AlAs3P
_cell_length_a 4.716
_cell_length_b 4.716
_cell_length_c 4.716
_cell_angle_alpha 90.00
_cell_angle_beta 90.00
_cell_angle_gamma 90.00
_symmetry_space_group_name_H-M 'P m -3 m'
_symmetry_Int_Tables_number 221
_symmetry_space_group_name_Hall '-P 4 2 3'
loop_
_atom_site_label
_atom_site_fract_x
_atom_site_fract_y
_atom_site_fract_z
Al1 0.000 0.000 0.000
As1 0.000 0.500 0.500
P1 0.500 0.500 0.500
# magnetic moment = 0.00 μB per formula unit
# E_form = 3.8 eV per formula unit
# calculated total energy = -1.101 Ry/atom

---

# 4
# meta-GGA SCAN AgP2Br, PBEsol geometry
data_AgP2Br
_cell_length_a 5.216
_cell_length_b 5.216
_cell_length_c 5.366
_cell_angle_alpha 90.00
_cell_angle_beta 90.00
_cell_angle_gamma 90.00
_symmetry_space_group_name_H-M 'I 4/m m m'
_symmetry_Int_Tables_number 139
_symmetry_space_group_name_Hall '-I 4 2'
loop_
_atom_site_label
_atom_site_fract_x
_atom_site_fract_y
_atom_site_fract_z
Ag1 0.000 0.000 0.000
P1 0.000 0.500 0.000
Br1 0.000 0.000 0.500
# formation energy from raw total energies = 0.5369 eV per atom
# magnetic moment = 0.00 μB per formula unit
# ΔE to the lowest computed polymorph = 0.351 eV/atom
# calculated total energy = -1.277 Ry/atom

---

# 5
# meta-GGA SCAN BeZnBr2, PBEsol geometry
data_BeZnBr2
_cell_length_a 5.889
_cell_length_b 3.398
_cell_length_c 9.278
_cell_angle_alpha 90.00
_cell_angle_beta 101.90
_cell_angle_gamma 90.00
_symmetry_space_group_name_H-M 'C 1 2/m 1'
_symmetry_Int_Tables_number 12
_symmetry_space_group_name_Hall '-C 2y'
loop_
_atom_site_label
_atom_site_fract_x
_atom_site_fract_y
_atom_site_fract_z
Be1 0.000 0.000 0.000
Zn1 0.000 0.500 0.500
Br1 0.216 0.500 0.151
# formation energy from raw total energies = -0.3434 eV per atom
# magnetic moment = 0.00 μB per formula unit
# ΔE to the lowest computed polymorph = 0.027 eV/atom
# calculated total energy = -1.069 Ry/atom

---

# 6
# meta-GGA SCAN Tm3Ga9Pt2, PBEsol geometry
data_Tm3Ga9Pt2
_cell_length_a 4.119
_cell_length_b 9.860
_cell_length_c 12.064
_cell_angle_alpha 90.00
_cell_angle_beta 90.00
_cell_angle_gamma 90.00
_symmetry_space_group_name_H-M 'I m m m'
_symmetry_Int_Tables_number 71
_symmetry_space_group_name_Hall '-I 2 2'
loop_
_atom_site_label
_atom_site_fract_x
_atom_site_fract_y
_atom_site_fract_z
Tm1 0.000 0.000 0.000
Tm2 0.000 0.000 0.323
Ga1 0.000 0.281 0.131
Ga2 0.000 0.376 0.332
Ga3 0.000 0.500 0.000
Pt1 0.000 0.224 0.500
# magnetic moment = 0.00 μB per formula unit
# E_form = -11.1 eV per formula unit
# calculated total energy = -2.384 Ry/atom

---

# 7
# meta-GGA SCAN Mg2Zn, PBEsol geometry
data_Mg2Zn
_cell_length_a 5.2546
_cell_length_b 5.2546
_cell_length_c 14.3952
_cell_angle_alpha 90.00
_cell_angle_beta 90.00
_cell_angle_gamma 120.00
_symmetry_space_group_name_H-M 'R 3 2'
_symmetry_Int_Tables_number 155
_symmetry_space_group_name_Hall 'R 3 2"'
loop_
_atom_site_label
_atom_site_fract_x
_atom_site_fract_y
_atom_site_fract_z
Mg1 0.0000 0.0000 0.0000
Mg2 0.0000 0.6726 0.5000
Zn1 0.0000 0.0000 0.3343
# magnetic moment = 0.00 μB per formula unit
# E_form = -0.1 eV per formula unit
# calculated total energy = -0.577 Ry/atom

---

# 8
# meta-GGA SCAN DyBRh3, PBEsol geometry
data_DyBRh3
_cell_length_a 4.139
_cell_length_b 4.139
_cell_length_c 4.139
_cell_angle_alpha 90.00
_cell_angle_beta 90.00
_cell_angle_gamma 90.00
_symmetry_space_group_name_H-M 'P m -3 m'
_symmetry_Int_Tables_number 221
_symmetry_space_group_name_Hall '-P 4 2 3'
loop_
_atom_site_label
_atom_site_fract_x
_atom_site_fract_y
_atom_site_fract_z
Dy1 0.000 0.000 0.000
B1 0.500 0.500 0.500
Rh1 0.000 0.500 0.500
# magnetic moment = 0.04 μB per formula unit
# E_form = -4.5 eV per formula unit
# calculated total energy = -2.367 Ry/atom

---

# 9
# meta-GGA SCAN MoSI3, PBEsol geometry
data_MoSI3
_cell_length_a 5.317
_cell_length_b 5.317
_cell_length_c 5.317
_cell_angle_alpha 90.00
_cell_angle_beta 90.00
_cell_angle_gamma 90.00
_symmetry_space_group_name_H-M 'P m -3 m'
_symmetry_Int_Tables_number 221
_symmetry_space_group_name_Hall '-P 4 2 3'
loop_
_atom_site_label
_atom_site_fract_x
_atom_site_fract_y
_atom_site_fract_z
Mo1 0.000 0.000 0.000
S1 0.500 0.500 0.500
I1 0.000 0.000 0.500
# formation energy from raw total energies = 0.6481 eV per atom
# magnetic moment = 0.97 μB per formula unit
# calculated total energy = -2.227 Ry/atom

---

# 10
# meta-GGA SCAN CdOs2Br, PBEsol geometry
data_CdOs2Br
_cell_length_a 2.829
_cell_length_b 4.826
_cell_length_c 4.877
_cell_angle_alpha 90.00
_cell_angle_beta 90.00
_cell_angle_gamma 90.00
_symmetry_space_group_name_H-M 'P m m m'
_symmetry_Int_Tables_number 47
_symmetry_space_group_name_Hall '-P 2 2'
loop_
_atom_site_label
_atom_site_fract_x
_atom_site_fract_y
_atom_site_fract_z
Cd1 0.000 0.000 0.000
Os1 0.000 0.500 0.500
Os2 0.500 0.500 0.000
Br1 0.500 0.000 0.500
# formation energy from raw total energies = 1.2663 eV per atom
# magnetic moment = 0.00 μB per formula unit
# ΔE to the lowest computed polymorph = 0.680 eV/atom
# calculated total energy = -3.465 Ry/atom

---

# 11
# meta-GGA SCAN CdPRhCl2, PBEsol geometry
data_CdPRhCl2
_cell_length_a 4.852
_cell_length_b 4.852
_cell_length_c 5.139
_cell_angle_alpha 90.00
_cell_angle_beta 90.00
_cell_angle_gamma 90.00
_symmetry_space_group_name_H-M 'P 4/m m m'
_symmetry_Int_Tables_number 123
_symmetry_space_group_name_Hall '-P 4 2'
loop_
_atom_site_label
_atom_site_fract_x
_atom_site_fract_y
_atom_site_fract_z
Cd1 0.000 0.000 0.000
P1 0.000 0.000 0.500
Rh1 0.500 0.500 0.500
Cl1 0.000 0.500 0.000
# formation energy from raw total energies = 0.7477 eV per atom
# magnetic moment = 3.72 μB per formula unit
# calculated total energy = -1.276 Ry/atom

---

# 12
# meta-GGA SCAN Cd3Ga, PBEsol geometry
data_Cd3Ga
_cell_length_a 4.345
_cell_length_b 4.345
_cell_length_c 8.538
_cell_angle_alpha 90.00
_cell_angle_beta 90.00
_cell_angle_gamma 90.00
_symmetry_space_group_name_H-M 'I 4/m m m'
_symmetry_Int_Tables_number 139
_symmetry_space_group_name_Hall '-I 4 2'
loop_
_atom_site_label
_atom_site_fract_x
_atom_site_fract_y
_atom_site_fract_z
Cd1 0.000 0.000 0.000
Cd2 0.000 0.500 0.250
Ga1 0.000 0.000 0.500
# magnetic moment = 0.00 μB per formula unit
# E_form = 0.3 eV per formula unit
# calculated total energy = -1.972 Ry/atom